Below is crystalline PtPb2O at its relaxed geometry, with properties calculated at the PBE-GGA level.

Lattice parameters (Å, degrees): 3.651 3.890 6.799 90.00 90.00 90.00
Space group Pmm2 (No. 25)
One atom of each set of equivalent atoms:
Pt 0.000 0.000 0.000 [1 per cell]
Pb 0.000 0.500 0.696 [1 per cell]
Pb 0.500 0.500 0.166 [1 per cell]
O 0.500 0.500 0.498 [1 per cell]

## Properties
* total energy: -20.1 eV/cell

***

Below is crystalline PtPb2O at its relaxed geometry, with properties calculated at the PBE-GGA level.

Lattice parameters (Å, degrees): 4.182 3.722 5.626 90.00 91.43 90.00
Space group Pm (No. 6)
One atom of each set of equivalent atoms:
Pt 0.000 0.000 0.000 [1 per cell]
Pb 0.069 0.000 0.502 [1 per cell]
Pb 0.499 0.500 0.957 [1 per cell]
O 0.409 0.500 0.554 [1 per cell]

## Properties
* total energy: -20.7 eV/cell

***

no.,size of the total moment (μB per formula unit),V (Å³/atom)
1,0.00,24.14
2,0.00,21.88